Entry from Alexandria: LiAc2UTe5 after structural relaxation (GGA-PBE).

The structure in POSCAR format:
```
LiAc2UTe5
1.0
4.591 0.000 0.000
-2.296 9.665 0.000
0.000 0.000 13.497
Ac Te U Li
4 10 2 2
Direct
0.892 0.783 0.187
0.126 0.253 0.305
0.108 0.217 0.687
0.874 0.747 0.805
0.049 0.097 0.063
0.310 0.620 0.352
0.638 0.277 0.502
0.362 0.723 0.002
0.713 0.427 0.166
0.498 0.996 0.780
0.287 0.573 0.666
0.502 0.004 0.280
0.951 0.903 0.563
0.690 0.380 0.852
0.801 0.602 0.510
0.199 0.398 0.010
0.559 0.118 0.959
0.441 0.882 0.459
```

Results
Calculated total energy, eV/f.u.: -47.95
Volume, Å³/cell: 599
ΔE_f (raw), eV per atom: -1.20
Crystal system: orthorhombic
Total magnetization, μB per cell: 5.77
Density, g/cm³: 7.4

***

Entry from Alexandria: PmMg3Pb after structural relaxation (GGA-PBE).

The structure in POSCAR format:
```
PmMg3Pb
1.0
5.711 0.000 0.000
0.000 5.711 0.000
-2.855 -2.855 10.505
Pb Mg Pm
2 6 2
Direct
0.000 0.000 0.000
0.250 0.750 0.500
0.624 0.872 0.744
0.120 0.872 0.744
0.340 0.340 0.681
0.128 0.376 0.256
0.660 0.660 0.319
0.128 0.880 0.256
0.555 0.055 0.110
0.945 0.445 0.890
```

Results
Calculated total energy, eV/f.u.: -11.99
Volume, Å³/cell: 343
DFT formation energy, eV per formula unit: 1.26
Crystal system: tetragonal
Total magnetization, μB per cell: 0.00
Density, g/cm³: 4.1

***

Entry from Alexandria: ZnHgS2 after structural relaxation (GGA-PBE).

The structure in POSCAR format:
```
ZnHgS2
1.0
4.020 0.000 0.000
-2.010 3.482 0.000
0.000 0.000 6.685
Zn Hg S
1 1 2
Direct
0.000 0.000 0.998
0.667 0.333 0.510
0.000 0.000 0.349
0.667 0.333 0.893
```

Results
Calculated total energy, eV/f.u.: -11.54
Volume, Å³/cell: 94
ΔE_f (raw), eV per atom: -0.43
Crystal system: trigonal
Total magnetization, μB per cell: 0.00
Density, g/cm³: 5.9

***

Entry from Alexandria: CeGdGaRu after structural relaxation (GGA-PBE).

The structure in POSCAR format:
```
CeGdGaRu
1.0
4.997 0.000 0.000
2.498 4.327 0.000
2.498 1.442 4.080
Ce Ru Ga Gd
1 1 1 1
Direct
0.500 0.500 0.500
0.750 0.750 0.750
0.250 0.250 0.250
0.000 0.000 0.000
```

Results
Calculated total energy, eV/f.u.: -33.77
Volume, Å³/cell: 88
DFT formation energy, eV per formula unit: -1.45
Crystal system: cubic
Total magnetization, μB per cell: 6.71
Density, g/cm³: 8.8

***

Entry from Alexandria: KSiNi2 after structural relaxation (GGA-PBE).

The structure in POSCAR format:
```
KSiNi2
1.0
-1.579 3.127 -2.865
-1.200 -1.180 -4.201
-4.368 -0.016 -1.185
Si Ni K
1 2 1
Direct
0.750 0.750 0.750
0.000 0.000 0.000
0.250 0.250 0.250
0.500 0.500 0.500
```

Results
Calculated total energy, eV/f.u.: -14.49
Volume, Å³/cell: 66
ΔE_f (raw), eV per atom: 0.90
Crystal system: cubic
Total magnetization, μB per cell: 0.00
Density, g/cm³: 4.7

***

Entry from Alexandria: LiTa2Ag after structural relaxation (GGA-PBE).

The structure in POSCAR format:
```
LiTa2Ag
1.0
-3.100 -2.057 3.424
-1.706 -0.805 -5.423
0.677 -2.651 -0.305
Ag Ta Li
1 2 1
Direct
0.000 0.500 0.500
0.000 0.000 0.000
0.500 0.000 0.500
0.500 0.500 0.000
```

Results
Calculated total energy, eV/f.u.: -27.20
Volume, Å³/cell: 70
DFT formation energy, eV per formula unit: 1.27
Crystal system: monoclinic
Total magnetization, μB per cell: 0.00
ΔE to the lowest computed polymorph, meV/atom: 171
Density, g/cm³: 11.3

***

Entry from Alexandria: PmCuN after structural relaxation (GGA-PBE).

The structure in POSCAR format:
```
PmCuN
1.0
3.979 0.000 0.000
0.000 3.979 0.000
-1.989 -1.989 3.403
Cu Pm N
1 1 1
Direct
0.996 0.996 0.991
0.592 0.592 0.183
0.263 0.263 0.526
```

Results
Calculated total energy, eV/f.u.: -16.92
Volume, Å³/cell: 54
ΔE_f (raw), eV per atom: 0.08
Crystal system: tetragonal
Total magnetization, μB per cell: 0.00
Density, g/cm³: 6.9

***

Entry from Alexandria: Mg2Cd2Hg4Pb3 after structural relaxation (GGA-PBE).

The structure in POSCAR format:
```
Mg2Cd2Hg4Pb3
1.0
-0.410 4.832 -1.727
-2.857 -3.734 -2.096
-9.240 2.272 8.548
Hg Pb Cd Mg
4 3 2 2
Direct
0.667 0.333 0.127
0.333 0.667 0.873
0.667 0.333 0.633
0.333 0.667 0.367
0.000 0.000 0.730
0.000 0.000 0.000
0.000 0.000 0.270
0.333 0.667 0.595
0.667 0.333 0.405
0.667 0.333 0.872
0.333 0.667 0.128
```

Results
Calculated total energy, eV/f.u.: -17.45
Volume, Å³/cell: 294
DFT formation energy, eV per formula unit: -0.09
Crystal system: trigonal
Total magnetization, μB per cell: 0.00
Density, g/cm³: 9.6

***

Entry from Alexandria: NdTmPtRh after structural relaxation (GGA-PBE).

The structure in POSCAR format:
```
NdTmPtRh
1.0
4.949 0.000 0.000
2.474 4.286 0.000
2.474 1.429 4.041
Rh Tm Nd Pt
1 1 1 1
Direct
0.250 0.250 0.250
0.500 0.500 0.500
0.000 0.000 0.000
0.750 0.750 0.750
```

Results
Calculated total energy, eV/f.u.: -26.46
Volume, Å³/cell: 86
DFT formation energy, eV per formula unit: -3.83
Crystal system: cubic
Total magnetization, μB per cell: 0.00
ΔE to the lowest computed polymorph, meV/atom: 42
Density, g/cm³: 11.8

***

Entry from Alexandria: TmThBeZn after structural relaxation (GGA-PBE).

The structure in POSCAR format:
```
TmThBeZn
1.0
-4.971 -0.290 -0.332
-2.183 -4.373 -1.012
-2.603 -2.368 3.539
Th Be Tm Zn
1 1 1 1
Direct
0.250 0.250 0.250
0.500 0.500 0.500
0.750 0.750 0.750
0.000 0.000 0.000
```

Results
Calculated total energy, eV/f.u.: -17.01
Volume, Å³/cell: 88
DFT formation energy, eV per formula unit: -0.12
Crystal system: cubic
Total magnetization, μB per cell: 0.00
Density, g/cm³: 9.0

***

Entry from Alexandria: BPt2Pb after structural relaxation (GGA-PBE).

The structure in POSCAR format:
```
BPt2Pb
1.0
-2.022 -0.497 4.036
0.373 3.257 3.143
-3.603 2.552 1.064
B Pt Pb
1 2 1
Direct
0.000 0.000 0.000
0.250 0.250 0.250
0.750 0.750 0.750
0.500 0.500 0.500
```

Results
Calculated total energy, eV/f.u.: -19.23
Volume, Å³/cell: 66
DFT formation energy, eV per formula unit: 3.24
Crystal system: cubic
Total magnetization, μB per cell: 0.00
ΔE to the lowest computed polymorph, meV/atom: 1026
Density, g/cm³: 15.2

***

Entry from Alexandria: LaGe3 after structural relaxation (GGA-PBE).

The structure in POSCAR format:
```
LaGe3
1.0
4.284 0.000 0.000
0.000 4.284 0.000
-2.142 -2.142 5.603
Ge La
3 1
Direct
0.718 0.718 0.437
0.282 0.282 0.563
0.500 0.500 0.000
0.000 0.000 0.000
```

Results
Calculated total energy, eV/f.u.: -19.55
Volume, Å³/cell: 103
DFT formation energy, eV per formula unit: -0.77
Crystal system: tetragonal
Total magnetization, μB per cell: 0.00
Density, g/cm³: 5.8

***

Please write out number 8 again, unchanged.
Entry from Alexandria: Mg2Cd2Hg4Pb3 after structural relaxation (GGA-PBE).

The structure in POSCAR format:
```
Mg2Cd2Hg4Pb3
1.0
-0.410 4.832 -1.727
-2.857 -3.734 -2.096
-9.240 2.272 8.548
Hg Pb Cd Mg
4 3 2 2
Direct
0.667 0.333 0.127
0.333 0.667 0.873
0.667 0.333 0.633
0.333 0.667 0.367
0.000 0.000 0.730
0.000 0.000 0.000
0.000 0.000 0.270
0.333 0.667 0.595
0.667 0.333 0.405
0.667 0.333 0.872
0.333 0.667 0.128
```

Results
Calculated total energy, eV/f.u.: -17.45
Volume, Å³/cell: 294
DFT formation energy, eV per formula unit: -0.09
Crystal system: trigonal
Total magnetization, μB per cell: 0.00
Density, g/cm³: 9.6

***

Which formula does entry 1 have? LiAc2UTe5